Record 1
The following is a PBE calculation of a relaxed structure of Pr5Sm3Y3, from Alexandria via LeMat-Bulk.

Crystal system: hexagonal
ΔE_f, eV/atom: 0.752
Symmetry: P-62m (189)
Fermi-level density of states, states/eV per atom: 1.90

a b c (Å): 9.903 9.903 5.448
angles (deg): 90.00 90.00 120.00
Atoms (fractional coordinates):
Pr (0.000, 0.738, 0.000)
Pr (0.262, 0.262, 0.000)
Pr (0.333, 0.667, 0.000)
Pr (0.667, 0.333, 0.000)
Pr (0.738, 0.000, 0.000)
Sm (0.000, 0.578, 0.500)
Sm (0.422, 0.422, 0.500)
Sm (0.578, 0.000, 0.500)
Y (0.000, 0.367, 0.000)
Y (0.367, 0.000, 0.000)
Y (0.633, 0.633, 0.000)



Record 2
The following is a PBE calculation of a relaxed structure of Pr12SmY7, from Alexandria via LeMat-Bulk.

Crystal system: trigonal
ΔE_f, eV/atom: 0.145
Symmetry: R-3 (148)
Fermi-level density of states, states/eV per atom: 1.81

a b c (Å): 9.546 9.546 9.546
angles (deg): 108.02 108.02 108.02
Atoms (fractional coordinates):
Pr (0.055, 0.298, 0.408)
Pr (0.221, 0.674, 0.382)
Pr (0.298, 0.408, 0.055)
Pr (0.326, 0.618, 0.779)
Pr (0.382, 0.221, 0.674)
Pr (0.408, 0.055, 0.298)
Pr (0.592, 0.945, 0.702)
Pr (0.618, 0.779, 0.326)
Pr (0.674, 0.382, 0.221)
Pr (0.702, 0.592, 0.945)
Pr (0.779, 0.326, 0.618)
Pr (0.945, 0.702, 0.592)
Sm (0.000, 0.000, 0.000)
Y (0.007, 0.893, 0.319)
Y (0.107, 0.681, 0.993)
Y (0.319, 0.007, 0.893)
Y (0.500, 0.500, 0.500)
Y (0.681, 0.993, 0.107)
Y (0.893, 0.319, 0.007)
Y (0.993, 0.107, 0.681)



Record 3
The following is a PBE calculation of a relaxed structure of Pr5Sm2Y3, from Alexandria via LeMat-Bulk.

Crystal system: monoclinic
ΔE_f, eV/atom: 0.174
Symmetry: C2/c (15)
Fermi-level density of states, states/eV per atom: 1.78

a b c (Å): 9.246 9.246 10.206
angles (deg): 108.52 108.52 107.25
Atoms (fractional coordinates):
Pr (0.014, 0.986, 0.750)
Pr (0.129, 0.385, 0.758)
Pr (0.226, 0.774, 0.750)
Pr (0.385, 0.129, 0.258)
Pr (0.476, 0.524, 0.250)
Pr (0.524, 0.476, 0.750)
Pr (0.615, 0.871, 0.742)
Pr (0.774, 0.226, 0.250)
Pr (0.871, 0.615, 0.242)
Pr (0.986, 0.014, 0.250)
Sm (0.026, 0.279, 0.061)
Sm (0.279, 0.026, 0.561)
Sm (0.721, 0.974, 0.439)
Sm (0.974, 0.721, 0.939)
Y (0.221, 0.471, 0.445)
Y (0.269, 0.731, 0.250)
Y (0.471, 0.221, 0.945)
Y (0.529, 0.779, 0.055)
Y (0.731, 0.269, 0.750)
Y (0.779, 0.529, 0.555)



Record 4
The following is a PBE calculation of a relaxed structure of Pr3Sm4Y, from Alexandria via LeMat-Bulk.

Crystal system: orthorhombic
ΔE_f, eV/atom: 0.029
Symmetry: Pmn2_1 (31)
Fermi-level density of states, states/eV per atom: 1.78

a b c (Å): 11.798 7.406 6.390
angles (deg): 90.00 90.00 90.00
Atoms (fractional coordinates):
Pr (0.000, 0.127, 0.000)
Pr (0.250, 0.126, 0.335)
Pr (0.250, 0.874, 0.835)
Pr (0.500, 0.873, 0.500)
Pr (0.750, 0.126, 0.335)
Pr (0.750, 0.874, 0.835)
Sm (0.000, 0.376, 0.501)
Sm (0.000, 0.623, 0.999)
Sm (0.248, 0.624, 0.333)
Sm (0.252, 0.376, 0.833)
Sm (0.500, 0.377, 0.499)
Sm (0.500, 0.624, 0.001)
Sm (0.748, 0.376, 0.833)
Sm (0.752, 0.624, 0.333)
Y (0.000, 0.873, 0.498)
Y (0.500, 0.127, 0.998)